Record 1
Crystalline Cs2HBrO at its relaxed geometry. Source: Alexandria, functional GGA-PBE.

Calculated values
VASP energy in eV for the cell shown: -38.060
Volume in Å³/f.u.: 168.5
DOS(E_F) in states/eV per cell: 0.0
M_tot in μB/cell: 0.0

Unit cell a=8.4316 b=8.4316 c=7.6175 alpha=123.60 beta=123.60 gamma=90.00
With the nearest neighbours (Å) after each atom.
Fractional positions:
H1 0.6691 0.6691 0.3381  1 O 0.98
H2 0.1691 0.1691 0.3381  1 O 0.98
Br1 0.7577 0.2577 0.5153  8 Cs 3.79-3.83
Br2 0.2577 0.7577 0.5153  8 Cs 3.79-3.83
Cs1 0.7536 0.2536 0.0073  2 O 3.04, 2 H 3.37
Cs2 0.7537 0.7536 0.0073  2 O 3.04, 2 H 3.37
Cs3 0.2536 0.2537 0.0073  2 O 3.04, 2 H 3.37
Cs4 0.2537 0.7537 0.0073  2 O 3.04, 2 H 3.37
O1 0.0662 0.0662 0.1324  1 H 0.98
O2 0.5662 0.5662 0.1324  1 H 0.98

***

Record 2
Crystalline Cs2H2Br2O at its relaxed geometry. Source: Alexandria, functional GGA-PBE.

Calculated values
VASP energy in eV for the cell shown: -25.835
Volume in Å³/f.u.: 205.2
DOS(E_F) in states/eV per cell: 0.0
M_tot in μB/cell: 0.0

Unit cell a=4.7095 b=6.7426 c=9.0624 alpha=47.77 beta=90.00 gamma=78.47
With the nearest neighbours (Å) after each atom.
Fractional positions:
Br1 0.8806 0.4166 0.2916  1 H 2.13
Br2 0.1194 0.5834 0.7084  1 H 2.13
H1 0.0109 0.1955 0.9023  1 O 0.99
H2 0.9891 0.8045 0.0977  1 O 0.99
O1 0.0000 0.0000 0.0000  2 H 0.99
Cs1 0.5000 0.0001 0.7418  2 H 3.24, 2 O 3.32
Cs2 0.5000 0.9999 0.2582  2 H 3.24, 2 O 3.32

***

Record 3
Crystalline CsHBrO2 at its relaxed geometry. Source: Alexandria, functional GGA-PBE.

Calculated values
VASP energy in eV for the cell shown: -10.993
Volume in Å³/f.u.: 144.5
DOS(E_F) in states/eV per cell: 2.7
M_tot in μB/cell: 0.8

Unit cell a=4.3628 b=7.5903 c=4.3628 alpha=90.00 beta=90.00 gamma=90.00
With the nearest neighbours (Å) after each atom.
Fractional positions:
Br1 0.0000 0.5000 0.0000  4 H 3.08
Cs1 0.0000 0.0000 0.0000  4 O 2.18
O1 0.5000 0.0000 0.0000  2 Cs 2.18
O2 0.0000 0.0000 0.5000  2 Cs 2.18
H1 0.5000 0.5000 0.5000  4 Br 3.08

***

Record 4
Crystalline CsHOsBr6 at its relaxed geometry. Source: Alexandria, functional GGA-PBE.

Calculated values
VASP energy in eV for the cell shown: -30.106
Volume in Å³/f.u.: 304.0
DOS(E_F) in states/eV per cell: 4.8
M_tot in μB/cell: 2.0

Unit cell a=8.4550 b=7.4132 c=6.8533 alpha=71.17 beta=75.35 gamma=48.50
With the nearest neighbours (Å) after each atom.
Fractional positions:
Br1 0.0289 0.6420 0.6600  1 H 1.72
Br2 0.5712 0.3500 0.5410  1 Os 2.49
Br3 0.0954 0.2058 0.4590  1 Os 2.49
Br4 0.4136 0.0020 0.8509  1 Os 2.50
Br5 0.6377 0.9136 0.3401  1 H 1.72
Br6 0.2531 0.5536 0.1490  1 Os 2.50
Os1 0.3333 0.2779 0.5000  6 Br 2.49-2.53
Cs1 0.8335 0.2773 0.0000  10 Br 3.81-4.00, 2 H 4.16
H1 0.8333 0.7779 0.5000  2 Br 1.72

***

- Which value of VASP energy does entry 1 give?
  -38.060 eV for the cell shown